Material: KSiTcNi2
Method: DFT, PBE
State: optimized geometry

Cell and atoms, written as POSCAR:
```
KSiTcNi2
1.0
4.301 0.000 0.000
0.000 5.012 0.000
0.000 0.000 4.301
Tc Ni Si K
1 2 1 1
direct
0.000 0.500 0.000
0.500 0.000 0.000
0.000 0.000 0.500
0.500 0.500 0.500
0.000 0.000 0.000
```

Computed properties:
* space group: P4/mmm, No. 123
* formation energy from raw total energies: 235.6 kJ per mole of atoms
* calculated total energy: -3.2480 eV/atom
* V: 93 Å³ per cell